1.
KPPbS4 | GGA-PBE | optimized geometry

The structure belongs to space group Pnma (No. 62); the cell edges are 16.9734, 6.6627 and 6.7374 Å and the angles 90.00°, 90.00° and 90.00°. Symmetry generates all atoms from K at (0.2142, 0.2500, 0.0368), P at (0.0950, 0.7500, 0.2217), Pb at (0.0230, 0.7500, 0.7236), S at (0.0228, 0.2500, 0.8550), S at (0.1185, 0.5043, 0.3961) and S at (0.1664, 0.7500, 0.9769).

For the uncorrected formation energy, the calculation gives -0.68 eV per atom.

=====

2.
KPPbS2 | GGA-PBE | optimized geometry

The structure belongs to space group P4/mmm (No. 123); the cell edges are 5.7480, 5.7480 and 5.5816 Å and the angles 90.00°, 90.00° and 90.00°. Symmetry generates all atoms from K at (0.0000, 0.0000, 0.0000), P at (0.0000, 0.0000, 0.5000), Pb at (0.5000, 0.5000, 0.5000) and S at (0.0000, 0.5000, 0.0000).

For the uncorrected formation energy, the calculation gives 1.05 eV per atom.

=====

3.
K2PPbS4 | GGA-PBE | optimized geometry

The structure belongs to space group C2/c (No. 15); the cell edges are 11.7868, 11.5603 and 8.5366 Å and the angles 90.00°, 131.06° and 90.00°. Symmetry generates all atoms from K at (0.0000, 0.0000, 0.0000), K at (0.2500, 0.2500, 0.0000), P at (0.2500, 0.2500, 0.5000), Pb at (0.0000, 0.5000, 0.0000), S at (0.0795, 0.2526, 0.5362) and S at (0.2291, 0.4480, 0.4598).

For the uncorrected formation energy, the calculation gives -0.40 eV per atom.

=====

4.
K2ScPPb | GGA-PBE | optimized geometry

The structure belongs to space group P4/mmm (No. 123); the cell edges are 6.3294, 6.3294 and 5.4905 Å and the angles 90.00°, 90.00° and 90.00°. Symmetry generates all atoms from K at (0.0000, 0.5000, 0.0000), Sc at (0.0000, 0.0000, 0.0000), P at (0.5000, 0.5000, 0.5000) and Pb at (0.0000, 0.0000, 0.5000).

Its formation energy is 960 meV/atom.

=====

5.
K4P2Pd3 | GGA-PBE | optimized geometry

The structure belongs to space group C2/m (No. 12); the cell edges are 18.5088, 3.5936 and 8.0849 Å and the angles 90.00°, 107.79° and 90.00°. Symmetry generates all atoms from K at (0.0684, 0.0000, 0.3723), K at (0.2383, 0.5000, 0.2023), P at (0.0918, 0.0000, 0.9701), Pd at (0.0000, 0.5000, 0.0000) and Pd at (0.0986, 0.5000, 0.7941).

Its formation energy is -297 meV/atom.

=====

6.
KPPd3 | GGA-PBE | optimized geometry

The structure belongs to space group Pm-3m (No. 221); the cell edges are 4.9004, 4.9004 and 4.9004 Å and the angles 90.00°, 90.00° and 90.00°. Symmetry generates all atoms from K at (0.0000, 0.0000, 0.0000), P at (0.5000, 0.5000, 0.5000) and Pd at (0.0000, 0.0000, 0.5000).

Its formation energy is 1650 meV/atom.

=====

7.
KPPd | GGA-PBE | optimized geometry

The structure belongs to space group P-6m2 (No. 187); the cell edges are 4.0312, 4.0312 and 5.2697 Å and the angles 90.00°, 90.00° and 120.00°. Symmetry generates all atoms from K at (0.0000, 0.0000, 0.0000), P at (0.3333, 0.6667, 0.5000) and Pd at (0.6667, 0.3333, 0.5000).

Its formation energy is -374 meV/atom.

=====

8.
KPPd4 | GGA-PBE | optimized geometry

The structure belongs to space group C2/m (No. 12); the cell edges are 10.4563, 5.8820 and 7.8145 Å and the angles 90.00°, 112.77° and 90.00°. Symmetry generates all atoms from K at (0.1986, 0.0000, 0.3087), P at (0.0454, 0.5000, 0.2911), Pd at (0.0000, 0.2470, 0.5000), Pd at (0.1033, 0.2523, 0.9097) and Pd at (0.2456, 0.5000, 0.2417).

Its formation energy is -259 meV/atom.

=====

9.
KP3Pd7 | GGA-PBE | optimized geometry

The structure belongs to space group R-3c (No. 167, hexagonal axes); the cell edges are 7.6217, 7.6217 and 21.0476 Å and the angles 90.00°, 90.00° and 120.00°. Symmetry generates all atoms from K at (0.0000, 0.0000, 0.0000), P at (0.0000, 0.3211, 0.2500), Pd at (0.0000, 0.0000, 0.2500) and Pd at (0.0187, 0.2280, 0.1400).

Its formation energy is -304 meV/atom.

=====

10.
K2P2Pd | GGA-PBE | optimized geometry

The structure belongs to space group P4/mbm (No. 127); the cell edges are 6.2917, 6.2917 and 5.4279 Å and the angles 90.00°, 90.00° and 90.00°. Symmetry generates all atoms from K at (0.1748, 0.3252, 0.0000), P at (0.1294, 0.6294, 0.5000) and Pd at (0.0000, 0.0000, 0.5000).

Its formation energy is -350 meV/atom.

=====

11.
KPPd2 | GGA-PBE | optimized geometry

The structure belongs to space group I4_1/amd (No. 141, origin choice 2); the cell edges are 5.4362, 5.4362 and 14.7125 Å and the angles 90.00°, 90.00° and 90.00°. Symmetry generates all atoms from K at (0.0000, 0.2500, 0.3750), P at (0.0000, 0.2500, 0.8750) and Pd at (0.0000, 0.0000, 0.0000).

Its formation energy is -328 meV/atom.

=====

12.
K6P2Pd | GGA-PBE | optimized geometry

The structure belongs to space group R-3m (No. 166, hexagonal axes); the cell edges are 5.6965, 5.6965 and 30.1689 Å and the angles 90.00°, 90.00° and 120.00°. Symmetry generates all atoms from K at (0.0000, 0.0000, 0.0833), K at (0.0000, 0.0000, 0.1997), K at (0.0000, 0.0000, 0.3116), P at (0.0000, 0.0000, 0.4190) and Pd at (0.0000, 0.0000, 0.5000).

Its formation energy is -236 meV/atom.

=====

13.
K3P2Pd7 | GGA-PBE | optimized geometry

The structure belongs to space group Cmmm (No. 65); the cell edges are 4.4340, 28.0939 and 4.4137 Å and the angles 90.00°, 90.00° and 90.00°. Symmetry generates all atoms from K at (0.0000, 0.0000, 0.0000), K at (0.0000, 0.1981, 0.0000), P at (0.0000, 0.4187, 0.5000), Pd at (0.0000, 0.1078, 0.5000), Pd at (0.0000, 0.3302, 0.5000), Pd at (0.0000, 0.3919, 0.0000) and Pd at (0.0000, 0.5000, 0.5000).

Its formation energy is -204 meV/atom.

=====

14.
KPPd2 | GGA-PBE | optimized geometry

The structure belongs to space group Cmcm (No. 63); the cell edges are 4.0858, 12.4308 and 7.0221 Å and the angles 90.00°, 90.00° and 90.00°. Symmetry generates all atoms from K at (0.0000, 0.0509, 0.2500), P at (0.0000, 0.2154, 0.7500) and Pd at (0.0000, 0.3095, 0.0607).

Its formation energy is -441 meV/atom.

=====

15.
K3PPd4 | GGA-PBE | optimized geometry

The structure belongs to space group Pmmn (No. 59, origin choice 2); the cell edges are 5.8599, 12.5486 and 5.8318 Å and the angles 90.00°, 90.00° and 90.00°. Symmetry generates all atoms from K at (0.2500, 0.0082, 0.1781), K at (0.2500, 0.2500, 0.5140), P at (0.2500, 0.7500, 0.3092), Pd at (0.0144, 0.7500, 0.9961) and Pd at (0.2500, 0.6436, 0.6333).

Its formation energy is -123 meV/atom.

=====

16.
KP2Pd4 | GGA-PBE | optimized geometry

The structure belongs to space group Cmmm (No. 65); the cell edges are 4.2383, 15.4654 and 4.2348 Å and the angles 90.00°, 90.00° and 90.00°. Symmetry generates all atoms from K at (0.0000, 0.0000, 0.0000), P at (0.0000, 0.3748, 0.5000), Pd at (0.0000, 0.1873, 0.5000) and Pd at (0.0000, 0.3130, 0.0000).

Its formation energy is -442 meV/atom.

=====

17.
K4P2Pd | GGA-PBE | optimized geometry

The structure belongs to space group R-3m (No. 166, hexagonal axes); the cell edges are 5.5920, 5.5920 and 26.7224 Å and the angles 90.00°, 90.00° and 120.00°. Symmetry generates all atoms from K at (0.0000, 0.0000, 0.1239), K at (0.0000, 0.0000, 0.2905), P at (0.0000, 0.0000, 0.4149) and Pd at (0.0000, 0.0000, 0.5000).

Its formation energy is -296 meV/atom.

=====

18.
KPPd3 | GGA-PBE | optimized geometry

The structure belongs to space group P6_3/mmc (No. 194); the cell edges are 6.1390, 6.1390 and 5.9972 Å and the angles 90.00°, 90.00° and 120.00°. Symmetry generates all atoms from K at (0.3333, 0.6667, 0.2500), P at (0.0000, 0.0000, 0.0000) and Pd at (0.1727, 0.3455, 0.7500).

Its formation energy is -121 meV/atom.

=====

19.
K3PPd3 | GGA-PBE | optimized geometry

The structure belongs to space group C2/m (No. 12); the cell edges are 8.7305, 14.0966 and 7.5616 Å and the angles 90.00°, 116.12° and 90.00°. Symmetry generates all atoms from K at (0.0000, 0.1780, 0.0000), K at (0.0000, 0.2281, 0.5000), K at (0.1518, 0.5000, 0.7807), P at (0.2325, 0.0000, 0.5847), Pd at (0.0203, 0.0000, 0.6956) and Pd at (0.1569, 0.3934, 0.1626).

Its formation energy is -191 meV/atom.

=====

20.
KPPd2 | GGA-PBE | optimized geometry

The structure belongs to space group R-3m (No. 166, hexagonal axes); the cell edges are 4.2196, 4.2196 and 17.6949 Å and the angles 90.00°, 90.00° and 120.00°. Symmetry generates all atoms from K at (0.0000, 0.0000, 0.0000), P at (0.0000, 0.0000, 0.5000) and Pd at (0.0000, 0.0000, 0.1949).

Its formation energy is -359 meV/atom.

=====

21.
K2PPd2 | GGA-PBE | optimized geometry

The structure belongs to space group I4_1/amd (No. 141, origin choice 2); the cell edges are 4.2778, 4.2778 and 36.3497 Å and the angles 90.00°, 90.00° and 90.00°. Symmetry generates all atoms from K at (0.0000, 0.2500, 0.0563), P at (0.0000, 0.2500, 0.3750) and Pd at (0.0000, 0.2500, 0.1492).

Its formation energy is -223 meV/atom.

=====

22.
K3P2Pd3 | GGA-PBE | optimized geometry

The structure belongs to space group Cmcm (No. 63); the cell edges are 3.5672, 12.0905 and 18.9244 Å and the angles 90.00°, 90.00° and 90.00°. Symmetry generates all atoms from K at (0.0000, 0.0647, 0.2500), K at (0.0000, 0.1309, 0.0563), P at (0.0000, 0.1958, 0.6585), Pd at (0.0000, 0.3327, 0.2500) and Pd at (0.0000, 0.3959, 0.1086).

Its formation energy is -327 meV/atom.